A geometry-optimized MgNbCu structure, computed with PBE.

abc: 7.4398 4.3475 3.2301
angles: 90.00 90.00 106.70
Sites, in units of the cell vectors:
Mg 0.6967 0.7676 0.3733
Mg 0.3534 0.5920 0.8733
Nb 0.9919 0.4138 0.3732
Nb 0.0582 0.9467 0.8732
Cu 0.6682 0.2527 0.8734
Cu 0.3814 0.1057 0.3735

Results
E_form: 0.105 eV per atom
Symmetry: P2_1/m
Excess energy over the best structure of this formula in the dataset: 0.062 eV per atom
D(E_F): 0.441 states/eV per atom

***

A geometry-optimized FeTeSe structure, computed with PBE.

abc: 6.8992 6.9027 3.0979
angles: 76.97 77.09 25.94
Last column: magnetic moment on the atom in μB.
Sites, in units of the cell vectors:
Fe 0.9903 0.9903 0.0097  2.15
Se 0.3827 0.3827 0.6173  -0.05
Te 0.6270 0.6270 0.3730  -0.06

Results
Symmetry: Fmm2
Excess energy over the best structure of this formula in the dataset: 0.396 eV per atom
D(E_F): 0.568 states/eV per atom
Raw formation energy: 0.15 eV per atom

***

A geometry-optimized Dy4Cd3Sn structure, computed with PBE.

abc: 3.7544 5.2748 10.5989
angles: 90.00 90.00 90.00
Sites, in units of the cell vectors:
Cd 0.5000 0.0000 0.2582
Cd 0.5000 0.5000 0.5000
Cd 0.5000 0.0000 0.7418
Sn 0.5000 0.5000 0.0000
Dy 0.0000 0.0000 0.5000
Dy 0.0000 0.5000 0.7503
Dy 0.0000 0.0000 0.0000
Dy 0.0000 0.5000 0.2497

Results
E_form: -0.410 eV per atom
Symmetry: Pmmm
D(E_F): 1.006 states/eV per atom

***

A geometry-optimized NaNbO2 structure, computed with PBE.

abc: 2.9642 2.9642 6.2820
angles: 76.35 76.35 60.00
Sites, in units of the cell vectors:
Na 0.4981 0.4981 0.5056
Nb 0.6673 0.6673 0.9980
O 0.0766 0.0766 0.7702
O 0.2580 0.2580 0.2261

Results
Symmetry: R3m
D(E_F): 0.537 states/eV per atom
Raw formation energy: -1.96 eV per atom

***

A geometry-optimized AcTbDyEr2 structure, computed with PBE.

abc: 5.7893 6.3405 9.7086
angles: 71.31 90.00 90.00
Sites, in units of the cell vectors:
Ac 0.7500 0.5686 0.1998
Ac 0.2500 0.4314 0.8002
Tb 0.2500 0.8360 0.0003
Tb 0.7500 0.1640 0.9997
Dy 0.7500 0.3647 0.5961
Dy 0.2500 0.6353 0.4039
Er 0.7500 0.7788 0.7921
Er 0.2500 0.2212 0.2079
Er 0.2500 0.0370 0.5945
Er 0.7500 0.9630 0.4055

Results
E_form: 0.045 eV per atom
Symmetry: P2_1/m
D(E_F): 1.751 states/eV per atom

***

A geometry-optimized Mn3TePd structure, computed with PBE.

abc: 4.8506 4.8506 4.8506
angles: 90.00 90.00 90.00
Last column: magnetic moment on the atom in μB.
Sites, in units of the cell vectors:
Mn 0.0000 0.5000 0.0000  4.00
Mn 0.0000 0.0000 0.5000  4.16
Mn 0.5000 0.0000 0.0000  3.90
Te 0.5000 0.5000 0.5000  -0.02
Pd 0.0000 0.0000 0.0000  0.33

Results
Symmetry: Pm-3m
Excess energy over the best structure of this formula in the dataset: 0.000 eV per atom
D(E_F): 0.823 states/eV per atom
Raw formation energy: 0.62 eV per atom

***

A geometry-optimized PrHoCdGa structure, computed with PBE.

abc: 5.2760 5.2760 5.2760
angles: 60.00 60.00 60.00
Sites, in units of the cell vectors:
Pr 0.0000 0.0000 0.0000
Ho 0.5000 0.5000 0.5000
Ga 0.2500 0.2500 0.2500
Cd 0.7500 0.7500 0.7500

Results
E_form: -0.423 eV per atom
Symmetry: F-43m
Excess energy over the best structure of this formula in the dataset: 0.024 eV per atom
D(E_F): 0.954 states/eV per atom

***

A geometry-optimized CuSi2PbSe6 structure, computed with PBE.

abc: 6.9059 9.1328 9.1328
angles: 86.06 74.77 74.77
Sites, in units of the cell vectors:
Cu 0.2500 0.2141 0.7859
Cu 0.7500 0.7859 0.2141
Si 0.2994 0.7756 0.6298
Si 0.2006 0.3702 0.2244
Si 0.7006 0.2244 0.3702
Si 0.7994 0.6298 0.7756
Pb 0.2500 0.8484 0.1516
Pb 0.7500 0.1516 0.8484
Se 0.1795 0.9524 0.8222
Se 0.3205 0.1778 0.0476
Se 0.8205 0.0476 0.1778
Se 0.6795 0.8222 0.9524
Se 0.4323 0.8876 0.4037
Se 0.0677 0.5963 0.1124
Se 0.5677 0.1124 0.5963
Se 0.9323 0.4037 0.8876
Se 0.0339 0.6998 0.5659
Se 0.4661 0.4341 0.3002
Se 0.9661 0.3002 0.4341
Se 0.5339 0.5659 0.6998

Results
Symmetry: C2/c
D(E_F): 0.533 states/eV per atom
Raw formation energy: -0.29 eV per atom

***

A geometry-optimized PmMoOs2 structure, computed with PBE.

abc: 3.1212 3.1212 7.4807
angles: 90.00 90.00 90.00
Sites, in units of the cell vectors:
Mo 0.5000 0.5000 0.0000
Os 0.0000 0.0000 0.8003
Os 0.0000 0.0000 0.1997
Pm 0.5000 0.5000 0.5000

Results
E_form: 0.164 eV per atom
Symmetry: P4/mmm
D(E_F): 0.962 states/eV per atom

***

A geometry-optimized Cs2ScI structure, computed with PBE.

abc: 6.8954 6.8954 6.8954
angles: 60.00 60.00 60.00
Last column: magnetic moment on the atom in μB.
Sites, in units of the cell vectors:
Cs 0.2500 0.2500 0.2500  0.02
Cs 0.7500 0.7500 0.7500  0.02
I 0.5000 0.5000 0.5000  0.01
Sc 0.0000 0.0000 0.0000  1.09

Results
Symmetry: Fm-3m
D(E_F): 1.221 states/eV per atom
Raw formation energy: 0.11 eV per atom

***

A geometry-optimized Mn2MoRh2 structure, computed with PBE.

abc: 7.0848 7.0848 2.6832
angles: 90.00 90.00 90.00
Last column: magnetic moment on the atom in μB.
Sites, in units of the cell vectors:
Mo 0.0000 0.0000 0.0000  -0.18
Mo 0.5000 0.5000 0.0000  -0.18
Mn 0.3837 0.8837 0.0000  0.99
Mn 0.8837 0.6163 0.0000  1.01
Mn 0.6163 0.1163 0.0000  0.99
Mn 0.1163 0.3837 0.0000  1.01
Rh 0.1778 0.6778 0.5000  -0.04
Rh 0.6778 0.8222 0.5000  -0.02
Rh 0.8222 0.3222 0.5000  -0.04
Rh 0.3222 0.1778 0.5000  -0.02

Results
E_form: 0.087 eV per atom
Symmetry: P4/mbm
Excess energy over the best structure of this formula in the dataset: 0.000 eV per atom
D(E_F): 1.028 states/eV per atom

***

A geometry-optimized SrTaCr2 structure, computed with PBE.

abc: 3.2973 3.2973 7.6436
angles: 90.00 90.00 89.99
Last column: magnetic moment on the atom in μB.
Sites, in units of the cell vectors:
Cr 0.0000 0.0000 0.9322  2.59
Cr 0.0000 0.0000 0.5678  2.59
Sr 0.5000 0.5000 0.2500  0.07
Ta 0.5000 0.5000 0.7500  -0.54

Results
E_form: 0.627 eV per atom
Symmetry: P4/mmm
Excess energy over the best structure of this formula in the dataset: 0.000 eV per atom
D(E_F): 0.869 states/eV per atom

***

A geometry-optimized LiBr3 structure, computed with PBE.

abc: 6.4975 6.4975 6.4975
angles: 144.23 134.04 59.57
Sites, in units of the cell vectors:
Br 0.8412 0.9019 0.9393
Br 0.5373 0.5981 0.9393
Br 0.1835 0.7500 0.4335
Li 0.6046 0.2500 0.3546

Results
Symmetry: Imm2
Excess energy over the best structure of this formula in the dataset: 0.300 eV per atom
D(E_F): 0.828 states/eV per atom
Raw formation energy: -0.43 eV per atom

***

A geometry-optimized CoIr2Os structure, computed with PBE.

abc: 8.7988 8.7988 8.7988
angles: 17.72 17.72 17.72
Last column: magnetic moment on the atom in μB.
Sites, in units of the cell vectors:
Co 0.7504 0.7504 0.7504  1.55
Ir 0.0036 0.0036 0.0036  0.30
Ir 0.2490 0.2490 0.2490  -0.06
Os 0.4971 0.4971 0.4971  0.10

Results
E_form: 0.111 eV per atom
Symmetry: R3m
Excess energy over the best structure of this formula in the dataset: 0.091 eV per atom
D(E_F): 1.528 states/eV per atom